(1)
This record from Alexandria describes Ca2BiS after structural relaxation. The functional is GGA-PBEsol.

- D(E_F): 5.624 states/eV per cell
- Total magnetization: 0.0 μB/cell
- Formation energy without anion corrections: -1124 meV/atom

a = 6.6548 Å, b = 6.6548 Å, c = 6.6548 Å
α = 107.16°, β = 107.16°, γ = 114.20°
Sites, in units of the cell vectors:
S 0.5000 0.5000 0.0000
S 0.7500 0.2500 0.5000
Ca 0.8263 0.8750 0.4513
Ca 0.4237 0.3750 0.5487
Ca 0.1250 0.5763 0.9513
Ca 0.6250 0.1737 0.0487
Bi 0.0000 0.0000 0.0000
Bi 0.2500 0.7500 0.5000

(2)
This record from Alexandria describes CaBiS3 after structural relaxation. The functional is GGA-PBEsol.

- D(E_F): 3.039 states/eV per cell
- Total magnetization: 0.0 μB/cell
- Formation energy without anion corrections: -444 meV/atom

a = 5.1391 Å, b = 5.1391 Å, c = 5.1391 Å
α = 90.00°, β = 90.00°, γ = 90.00°
Sites, in units of the cell vectors:
S 0.0000 0.5000 0.0000
S 0.0000 0.0000 0.5000
S 0.5000 0.0000 0.0000
Ca 0.5000 0.5000 0.5000
Bi 0.0000 0.0000 0.0000

(3)
This record from Alexandria describes CaBi2Sb2 after structural relaxation. The functional is GGA-PBEsol.

- D(E_F): 2.209 states/eV per cell
- Total magnetization: 0.0 μB/cell
- Formation energy without anion corrections: -184 meV/atom

a = 4.4788 Å, b = 4.4788 Å, c = 8.5689 Å
α = 105.15°, β = 105.15°, γ = 90.00°
Sites, in units of the cell vectors:
Sb 0.4102 0.4102 0.8205
Sb 0.5898 0.5898 0.1795
Ca 0.0000 0.0000 0.0000
Bi 0.2500 0.7500 0.5000
Bi 0.7500 0.2500 0.5000

(4)
This record from Alexandria describes Ca2BiSb2 after structural relaxation. The functional is GGA-PBEsol.

- D(E_F): 6.145 states/eV per cell
- Total magnetization: 0.0 μB/cell
- Formation energy without anion corrections: -705 meV/atom

a = 4.2887 Å, b = 8.2979 Å, c = 8.2979 Å
α = 90.00°, β = 90.00°, γ = 90.00°
Sites, in units of the cell vectors:
Sb 0.0000 0.3537 0.8537
Sb 0.0000 0.8537 0.6463
Sb 0.0000 0.6463 0.1463
Sb 0.0000 0.1463 0.3537
Ca 0.5000 0.1553 0.6553
Ca 0.5000 0.6553 0.8447
Ca 0.5000 0.8447 0.3447
Ca 0.5000 0.3447 0.1553
Bi 0.0000 0.0000 0.0000
Bi 0.0000 0.5000 0.5000

(5)
This record from Alexandria describes CaBiSbTe2 after structural relaxation. The functional is GGA-PBEsol.

- D(E_F): 5.411 states/eV per cell
- Total magnetization: 0.0 μB/cell
- Formation energy without anion corrections: 107 meV/atom

a = 5.7095 Å, b = 5.8167 Å, c = 5.8167 Å
α = 90.00°, β = 90.00°, γ = 90.00°
Sites, in units of the cell vectors:
Sb 0.5000 0.0000 0.0000
Ca 0.5000 0.5000 0.5000
Te 0.0000 0.0000 0.5000
Te 0.0000 0.5000 0.0000
Bi 0.0000 0.0000 0.0000

(6)
This record from Alexandria describes CaBiSb2Te after structural relaxation. The functional is GGA-PBEsol.

- D(E_F): 5.077 states/eV per cell
- Total magnetization: 0.0 μB/cell
- Formation energy without anion corrections: 502 meV/atom

a = 5.5286 Å, b = 5.6312 Å, c = 5.6312 Å
α = 90.00°, β = 90.00°, γ = 90.00°
Sites, in units of the cell vectors:
Sb 0.0000 0.0000 0.5000
Sb 0.0000 0.5000 0.0000
Ca 0.0000 0.0000 0.0000
Te 0.5000 0.0000 0.0000
Bi 0.5000 0.5000 0.5000

(7)
This record from Alexandria describes CaSc2Bi after structural relaxation. The functional is GGA-PBEsol.

- D(E_F): 3.902 states/eV per cell
- Total magnetization: 0.0 μB/cell
- Energy of formation from the pure elements: 0.4 eV/f.u.

a = 3.7787 Å, b = 3.7787 Å, c = 10.5022 Å
α = 79.64°, β = 79.64°, γ = 60.00°
Sites, in units of the cell vectors:
Sc 0.8946 0.8946 0.3161
Sc 0.1054 0.1054 0.6839
Ca 0.0000 0.0000 0.0000
Bi 0.5000 0.5000 0.5000

(8)
This record from Alexandria describes Ca2ScSiBi after structural relaxation. The functional is GGA-PBEsol.

- D(E_F): 7.164 states/eV per cell
- Total magnetization: 1.0 μB/cell
- Formation energy without anion corrections: 585 meV/atom

a = 5.5070 Å, b = 5.7469 Å, c = 5.7469 Å
α = 90.00°, β = 90.00°, γ = 90.00°
Sites, in units of the cell vectors:
Sc 0.5000 0.5000 0.5000
Ca 0.0000 0.0000 0.5000
Ca 0.0000 0.5000 0.0000
Si 0.5000 0.0000 0.0000
Bi 0.0000 0.0000 0.0000

(9)
This record from Alexandria describes SrCaSc2Bi after structural relaxation. The functional is GGA-PBEsol.

- D(E_F): 5.948 states/eV per cell
- Total magnetization: 0.0 μB/cell
- Energy of formation from the pure elements: 3.8 eV/f.u.

a = 5.3003 Å, b = 5.3003 Å, c = 5.9615 Å
α = 90.00°, β = 90.00°, γ = 90.00°
Sites, in units of the cell vectors:
Sc 0.0000 0.5000 0.0000
Sc 0.5000 0.0000 0.0000
Sr 0.0000 0.0000 0.0000
Ca 0.5000 0.5000 0.5000
Bi 0.0000 0.0000 0.5000

(10)
This record from Alexandria describes CaSi3Bi after structural relaxation. The functional is GGA-PBEsol.

- D(E_F): 5.195 states/eV per cell
- Total magnetization: 0.0 μB/cell
- Formation energy without anion corrections: 1311 meV/atom

a = 5.1425 Å, b = 5.1425 Å, c = 5.1425 Å
α = 90.00°, β = 90.00°, γ = 90.00°
Sites, in units of the cell vectors:
Ca 0.0000 0.0000 0.0000
Si 0.0000 0.5000 0.0000
Si 0.0000 0.0000 0.5000
Si 0.5000 0.0000 0.0000
Bi 0.5000 0.5000 0.5000

(11)
This record from Alexandria describes Ca2Si2Bi after structural relaxation. The functional is GGA-PBEsol.

- D(E_F): 2.947 states/eV per cell
- Total magnetization: 0.0 μB/cell
- Formation energy without anion corrections: -500 meV/atom

a = 4.3369 Å, b = 7.4588 Å, c = 7.4588 Å
α = 90.00°, β = 90.00°, γ = 90.00°
Sites, in units of the cell vectors:
Ca 0.5000 0.1777 0.6777
Ca 0.5000 0.6777 0.8223
Ca 0.5000 0.8223 0.3223
Ca 0.5000 0.3223 0.1777
Si 0.0000 0.3886 0.8886
Si 0.0000 0.8886 0.6114
Si 0.0000 0.6114 0.1114
Si 0.0000 0.1114 0.3886
Bi 0.0000 0.0000 0.0000
Bi 0.0000 0.5000 0.5000

(12)
This record from Alexandria describes CaSi2Bi after structural relaxation. The functional is GGA-PBEsol.

- D(E_F): 2.147 states/eV per cell
- Total magnetization: 0.0 μB/cell
- Formation energy without anion corrections: 148 meV/atom

a = 5.0725 Å, b = 5.0725 Å, c = 5.0725 Å
α = 60.00°, β = 60.00°, γ = 60.00°
Sites, in units of the cell vectors:
Ca 0.0000 0.0000 0.0000
Si 0.2500 0.2500 0.2500
Si 0.7500 0.7500 0.7500
Bi 0.5000 0.5000 0.5000